Compound: BiTePd2Rh
Source: Alexandria
Functional: PBE-GGA
Structure: optimized geometry

VASP energy = -4.4571 eV/atom
Distance to the lowest polymorph of the same formula = 0 meV/atom
Formation energy from raw total energies = 0.49 eV per atom

Geometry as POSCAR:
```
BiTePd2Rh
1.0
5.037 0.000 0.000
0.000 5.037 0.000
0.000 0.000 4.807
Bi Te Pd Rh
1 1 2 1
direct
0.000 0.000 0.000
0.500 0.500 0.000
0.000 0.500 0.500
0.500 0.000 0.500
0.500 0.500 0.500
```